(1)
! Sm3ThIr3 | Alexandria via LeMat-Bulk | PBE | optimized geometry; values from VASP
! Final energy (eV/f.u.): -53.2
! SG: R-3
! DOS(E_F) (states/eV/atom): 0.64
! Formation energy (kJ/mol of atoms): -68.9
! Crystal system: trigonal
&SYSTEM
  ibrav = 0, nat = 14, ntyp = 3
/
ATOMIC_SPECIES
Sm 150.36 Sm.upf
Th 232.04 Th.upf
Ir 192.22 Ir.upf
ATOMIC_POSITIONS angstrom
Sm -1.0739 -2.8526 7.6179
Sm -3.0074 -0.4963 9.8358
Sm -1.9335 2.3563 7.6179
Sm 1.9335 -2.3563 9.8358
Sm 3.0074 0.4963 7.6179
Sm 1.0739 2.8526 9.8358
Th 0.0000 0.0000 5.7128
Th 0.0000 0.0000 11.7409
Ir -2.7107 -0.3545 6.9193
Ir -1.0483 -2.5248 10.5345
Ir 1.6623 -2.1703 6.9193
Ir -1.6623 2.1703 10.5345
Ir 1.0483 2.5248 6.9193
Ir 2.7107 0.3545 10.5345
CELL_PARAMETERS angstrom
4.2811 2.4717 5.8179
-4.2811 2.4717 5.8179
0.0000 -4.9434 5.8179

***

(2)
! MgCr2SbH | Alexandria via LeMat-Bulk | PBE | optimized geometry; values from VASP
! Final energy (eV/f.u.): -23.9
! SG: P4/mmm
! DOS(E_F) (states/eV/atom): 0.53
! Crystal system: tetragonal
&SYSTEM
  ibrav = 0, nat = 5, ntyp = 4
/
ATOMIC_SPECIES
Mg 24.30 Mg.upf
Cr 52.00 Cr.upf
Sb 121.76 Sb.upf
H 1.01 H.upf
ATOMIC_POSITIONS angstrom
Mg 0.0000 0.0000 0.0000
Cr 0.0000 2.6796 0.0000
Cr 2.6796 0.0000 0.0000
Sb 2.6796 2.6796 1.7039
H 0.0000 0.0000 1.7039
CELL_PARAMETERS angstrom
5.3593 0.0000 0.0000
0.0000 5.3593 0.0000
0.0000 0.0000 3.4077

***

(3)
! CeDyMgTc | Alexandria via LeMat-Bulk | PBE | optimized geometry; values from VASP
! Final energy (eV/f.u.): -22.8
! SG: P4mm
! DOS(E_F) (states/eV/atom): 1.28
! Excess energy over the best structure of this formula in the dataset (meV/atom): 0
! Formation energy (kJ/mol of atoms): -7.8
! Crystal system: tetragonal
&SYSTEM
  ibrav = 0, nat = 4, ntyp = 4
/
ATOMIC_SPECIES
Ce 140.12 Ce.upf
Dy 162.50 Dy.upf
Mg 24.30 Mg.upf
Tc 98.00 Tc.upf
ATOMIC_POSITIONS angstrom
Ce 0.0000 0.0000 0.0000
Dy 0.0000 0.0000 3.3911
Mg 1.6968 1.6968 5.9425
Tc 1.6968 1.6968 1.6089
CELL_PARAMETERS angstrom
3.3937 0.0000 0.0000
0.0000 3.3937 0.0000
0.0000 0.0000 8.5531

***

(4)
! RbInCl3 | Alexandria via LeMat-Bulk | PBE | optimized geometry; values from VASP
! Final energy (eV/f.u.): -16.3
! SG: C2/c
! DOS(E_F) (states/eV/atom): 0.00
! Raw formation energy (eV per atom): -1.402
! Crystal system: monoclinic
&SYSTEM
  ibrav = 0, nat = 20, ntyp = 3
/
ATOMIC_SPECIES
Rb 85.47 Rb.upf
In 114.82 In.upf
Cl 35.45 Cl.upf
ATOMIC_POSITIONS angstrom
Rb 2.2239 0.5745 5.1460
Rb 1.6306 -0.5745 10.3001
Rb 10.0848 0.5745 0.0082
Rb 9.4916 -0.5745 5.1623
In 5.5611 2.7276 7.7312
In 6.1543 1.5598 2.5771
In 5.5611 -1.5598 7.7312
In 6.1543 -2.7276 2.5771
Cl 1.4915 1.5726 2.0869
Cl 4.8788 2.6619 5.2621
Cl 0.8983 -1.5726 7.2411
Cl 3.8460 0.7816 8.1334
Cl 6.2434 2.6619 10.2003
Cl 4.4392 -0.7816 2.9792
Cl 7.2762 0.7816 7.3290
Cl 5.4720 -2.6619 0.1079
Cl 7.8694 -0.7816 2.1749
Cl 10.8172 1.5726 3.0672
Cl 6.8366 -2.6619 5.0462
Cl 10.2239 -1.5726 8.2213
CELL_PARAMETERS angstrom
6.4509 -6.0052 0.0000
6.4509 6.0052 0.0000
-1.1865 0.0000 10.3083

***

(5)
! Pa2AgAu | Alexandria via LeMat-Bulk | PBE | optimized geometry; values from VASP
! Final energy (eV/f.u.): -25.3
! SG: P4/mmm
! DOS(E_F) (states/eV/atom): 1.50
! Excess energy over the best structure of this formula in the dataset (meV/atom): 0
! Formation energy (kJ/mol of atoms): -4.0
! Crystal system: tetragonal
&SYSTEM
  ibrav = 0, nat = 4, ntyp = 3
/
ATOMIC_SPECIES
Pa 231.04 Pa.upf
Ag 107.87 Ag.upf
Au 196.97 Au.upf
ATOMIC_POSITIONS angstrom
Pa 0.0000 2.2054 0.0000
Pa 2.2054 0.0000 0.0000
Ag 0.0000 0.0000 2.2699
Au 2.2054 2.2054 2.2699
CELL_PARAMETERS angstrom
4.4108 0.0000 0.0000
0.0000 4.4108 0.0000
0.0000 0.0000 4.5397

***

(6)
! Zr4CdAu7 | Alexandria via LeMat-Bulk | PBE | optimized geometry; values from VASP
! Final energy (eV/f.u.): -61.8
! SG: C2/m
! DOS(E_F) (states/eV/atom): 0.69
! Formation energy (kJ/mol of atoms): -29.8
! Crystal system: monoclinic
&SYSTEM
  ibrav = 0, nat = 12, ntyp = 3
/
ATOMIC_SPECIES
Zr 91.22 Zr.upf
Cd 112.41 Cd.upf
Au 196.97 Au.upf
ATOMIC_POSITIONS angstrom
Zr -0.5407 0.0000 2.4015
Zr -1.6729 0.0000 7.1812
Zr 7.8495 0.0000 1.4945
Zr 6.7174 0.0000 6.2743
Cd 3.0883 0.0000 4.3379
Au -2.7051 0.0000 4.3379
Au 1.3999 0.0000 0.3140
Au 0.2098 0.0000 5.1270
Au 4.1150 0.0000 1.3477
Au 2.0617 0.0000 7.3280
Au 5.9668 0.0000 3.5488
Au 4.7768 0.0000 8.3618
CELL_PARAMETERS angstrom
5.7934 -2.5454 0.0000
5.7934 2.5454 0.0000
-5.4102 0.0000 8.6758

***

(7)
! BaDy4Te6 | Alexandria via LeMat-Bulk | PBE | optimized geometry; values from VASP
! Final energy (eV/f.u.): -55.0
! SG: Cmcm
! DOS(E_F) (states/eV/atom): 0.37
! Raw formation energy (eV per atom): -1.442
! Crystal system: orthorhombic
&SYSTEM
  ibrav = 0, nat = 22, ntyp = 3
/
ATOMIC_SPECIES
Ba 137.33 Ba.upf
Dy 162.50 Dy.upf
Te 127.60 Te.upf
ATOMIC_POSITIONS angstrom
Ba 2.2218 4.9163 17.1110
Ba 2.2218 -4.9163 5.7037
Dy 2.2218 5.8596 2.8422
Dy 2.2218 5.8596 8.5651
Dy 2.2218 2.0189 0.8365
Dy 2.2218 2.0189 10.5709
Dy 2.2218 -2.0189 12.2438
Dy 2.2218 -2.0189 21.9782
Dy 2.2218 -5.8596 14.2496
Dy 2.2218 -5.8596 19.9724
Te 0.0000 0.0000 0.0000
Te 0.0000 0.0000 11.4073
Te 2.2218 4.9038 5.7037
Te 2.2218 3.3649 13.4083
Te 2.2218 3.3649 20.8137
Te 2.2218 0.6274 3.5679
Te 2.2218 0.6274 7.8394
Te 2.2218 -0.6274 14.9752
Te 2.2218 -0.6274 19.2468
Te 2.2218 -3.3649 2.0010
Te 2.2218 -3.3649 9.4063
Te 2.2218 -4.9038 17.1110
CELL_PARAMETERS angstrom
2.2218 -7.2048 0.0000
2.2218 7.2048 0.0000
0.0000 0.0000 22.8147

***

(8)
! Zr2SnGe2 | Alexandria via LeMat-Bulk | PBE | optimized geometry; values from VASP
! Final energy (eV/f.u.): -31.2
! SG: I4/mmm
! DOS(E_F) (states/eV/atom): 0.38
! Excess energy over the best structure of this formula in the dataset (meV/atom): 237
! Formation energy (kJ/mol of atoms): -16.5
! Crystal system: tetragonal
&SYSTEM
  ibrav = 0, nat = 5, ntyp = 3
/
ATOMIC_SPECIES
Zr 91.22 Zr.upf
Sn 118.71 Sn.upf
Ge 72.64 Ge.upf
ATOMIC_POSITIONS angstrom
Zr 2.3096 0.0000 2.7054
Zr 0.0000 2.3096 2.7054
Sn 0.0000 0.0000 0.0000
Ge 0.0000 0.0000 4.1924
Ge 0.0000 0.0000 6.6292
CELL_PARAMETERS angstrom
-2.3096 2.3096 5.4108
2.3096 -2.3096 5.4108
2.3096 2.3096 -5.4108

***

(9)
! LaMnH8Rh2 | Alexandria via LeMat-Bulk | PBE | optimized geometry; values from VASP
! Final energy (eV/f.u.): -58.2
! SG: R-3
! DOS(E_F) (states/eV/atom): 0.43
! Crystal system: trigonal
&SYSTEM
  ibrav = 0, nat = 12, ntyp = 4
/
ATOMIC_SPECIES
La 138.91 La.upf
Mn 54.94 Mn.upf
H 1.01 H.upf
Rh 102.91 Rh.upf
ATOMIC_POSITIONS angstrom
La 0.0000 0.0000 0.0000
Mn 0.0000 0.0000 8.3896
H -1.5725 0.1872 7.5673
H -0.9484 -1.2682 9.2119
H 0.0000 0.0000 5.1479
H 0.6241 -1.4554 7.5673
H -0.6241 1.4554 9.2119
H 0.0000 0.0000 11.6313
H 0.9484 1.2682 7.5673
H 1.5725 -0.1872 9.2119
Rh 0.0000 0.0000 3.4392
Rh 0.0000 0.0000 13.3400
CELL_PARAMETERS angstrom
2.3569 1.3608 5.5931
-2.3569 1.3608 5.5931
0.0000 -2.7215 5.5931

***

(10)
! Cd2CoCu | Alexandria via LeMat-Bulk | PBE | optimized geometry; values from VASP
! Final energy (eV/f.u.): -12.0
! SG: Fm-3m
! DOS(E_F) (states/eV/atom): 0.61
! Excess energy over the best structure of this formula in the dataset (meV/atom): 35
! Formation energy (kJ/mol of atoms): 23.8
! Crystal system: cubic
&SYSTEM
  ibrav = 0, nat = 4, ntyp = 3
/
ATOMIC_SPECIES
Cd 112.41 Cd.upf
Co 58.93 Co.upf
Cu 63.55 Cu.upf
ATOMIC_POSITIONS angstrom
Cd 1.5828 1.5828 1.5828
Cd 4.7485 4.7485 4.7485
Co 0.0000 0.0000 0.0000
Cu 3.1657 3.1657 3.1657
CELL_PARAMETERS angstrom
0.0000 3.1657 3.1657
3.1657 0.0000 3.1657
3.1657 3.1657 0.0000

***

(11)
! Tm3Bi2H | Alexandria via LeMat-Bulk | PBE | optimized geometry; values from VASP
! Final energy (eV/f.u.): -27.3
! SG: C2/c
! DOS(E_F) (states/eV/atom): 0.34
! Crystal system: monoclinic
&SYSTEM
  ibrav = 0, nat = 12, ntyp = 3
/
ATOMIC_SPECIES
Tm 168.93 Tm.upf
Bi 208.98 Bi.upf
H 1.01 H.upf
ATOMIC_POSITIONS angstrom
Tm 5.3202 2.2569 5.7629
Tm 4.1040 0.5898 2.5705
Tm 3.3992 -0.5898 6.4125
Tm 7.9460 0.5898 1.2714
Tm 7.2412 -0.5898 5.1134
Tm 6.0250 -2.2569 1.9210
Bi 2.0807 0.3985 0.1657
Bi 1.3759 -0.3985 4.0076
Bi 9.9693 0.3985 3.6763
Bi 9.2645 -0.3985 7.5183
H 5.3202 0.1710 5.7629
H 6.0250 -0.1710 1.9210
CELL_PARAMETERS angstrom
6.3774 -3.1473 0.0000
6.3774 3.1473 0.0000
-1.4096 0.0000 7.6839

***

(12)
! RbH2Se | Alexandria via LeMat-Bulk | PBE | optimized geometry; values from VASP
! Final energy (eV/f.u.): -10.9
! SG: I4_1/amd
! DOS(E_F) (states/eV/atom): 0.21
! Excess energy over the best structure of this formula in the dataset (meV/atom): 475
! Crystal system: tetragonal
&SYSTEM
  ibrav = 0, nat = 8, ntyp = 3
/
ATOMIC_SPECIES
Rb 85.47 Rb.upf
H 1.01 H.upf
Se 78.96 Se.upf
ATOMIC_POSITIONS angstrom
Rb 2.4059 1.2029 1.6789
Rb 0.0000 1.2029 5.0366
H 0.0000 0.0000 0.0000
H 1.2029 1.2029 -3.3577
H 1.2029 -1.2029 3.3577
H 0.0000 2.4059 0.0000
Se 2.4059 -1.2029 5.0366
Se 0.0000 3.6088 1.6789
CELL_PARAMETERS angstrom
-2.4059 2.4059 6.7155
2.4059 -2.4059 6.7155
2.4059 2.4059 -6.7155